A geometry-optimized La2ScFeF structure, computed with PBE+U.

```
5
Lattice="5.2761 0.0000 0.0000 0.0000 5.2761 0.0000 0.0000 0.0000 4.3152" Properties=species:S:1:pos:R:3 pbc="T T T"
La 0.0000 2.6380 0.0000
La 2.6380 0.0000 0.0000
Sc 0.0000 0.0000 2.1576
Fe 2.6380 2.6380 2.1576
F 0.0000 0.0000 0.0000
```

Properties
Energy: -5.38 eV/atom